Record 1
Sr3Cd, relaxed, DFT PBEsol; excess energy over the best structure of this formula in the dataset = 98 meV/atom; D(E_F) = 0.9085 states/eV/atom; crystal system = hexagonal; calculated total energy = -1.743 eV per atom
1.0
4.1832 0.0000 0.0000
-2.0916 3.6227 0.0000
0.0000 0.0000 11.6192
Sr Cd
3 1
direct
0.3333 0.6667 0.1999 Sr
0.3333 0.6667 0.8001 Sr
0.0000 0.0000 0.5000 Sr
0.0000 0.0000 0.0000 Cd

---

Record 2
Sr3Cd, relaxed, DFT PBEsol; excess energy over the best structure of this formula in the dataset = 0 meV/atom; D(E_F) = 0.8562 states/eV/atom; crystal system = tetragonal; calculated total energy = -1.841 eV per atom
1.0
-0.7284 -1.3778 3.7297
-3.5657 -1.4512 -1.2325
4.4144 -8.8132 -2.3936
Cd Sr
1 3
direct
0.0000 0.0000 0.0000 Cd
0.5000 0.5000 0.8113 Sr
0.0000 0.0000 0.5000 Sr
0.5000 0.5000 0.1887 Sr

---

Record 3
Sr2Cd, relaxed, DFT PBEsol; D(E_F) = 0.7847 states/eV/atom; crystal system = tetragonal; calculated total energy = -1.790 eV per atom
1.0
-3.8659 -0.2972 -0.7121
0.7589 -0.8070 -3.7833
2.0900 -14.2440 5.5112
Sr Cd
4 2
direct
0.3144 0.8144 0.6288 Sr
0.0644 0.0644 0.1288 Sr
0.1856 0.6856 0.3712 Sr
0.9356 0.9356 0.8712 Sr
0.5000 0.5000 0.0000 Cd
0.7500 0.2500 0.5000 Cd

---

Number 2 is which compound?
Sr3Cd